# PmPu2Ga6

A relaxed PmPu2Ga6 crystal (PBE-GGA, Alexandria).

The structure in POSCAR format:
```
PmPu2Ga6
1.0
-2.218 3.580 6.441
2.218 -3.580 6.441
2.218 3.580 -6.441
Pm Pu Ga
1 2 6
direct
0.000 0.000 0.000
0.382 0.882 0.500
0.618 0.118 0.500
0.007 0.312 0.695
0.308 0.500 0.808
0.383 0.688 0.695
0.617 0.312 0.305
0.692 0.500 0.192
0.993 0.688 0.305
```

## Properties
- total moment (μB/cell) = 11.01
- total energy (eV per atom) = -6.032
- space-group type = Immm
- calculated density (Mg/m³) = 8.5
- ΔE_f (eV per atom) = -0.301